The following is a DFT calculation (PBE) of ZnCoIr2 after structural relaxation.

abc: 5.079 5.079 5.079
angles: 147.58 129.14 61.61
Atoms (fractional coordinates):
1 Zn 0.491 0.491 0.000
2 Co 0.255 0.755 0.500
3 Ir 0.008 0.008 0.000
4 Ir 0.745 0.245 0.500

Results
Symmetry ... Imm2 (44)
Formation energy from the elements ... 0.08 eV/atom
Total magnetization ... 2.22 Bohr magnetons per cell